# 1
Sr2TlOs: PBEsol geometry, SCAN.

```
Sr2TlOs
1.0
3.998 0.000 0.000
0.000 5.093 0.000
0.000 0.000 5.093
Sr Os Tl
2 1 1
Direct
0.000 0.000 0.500
0.000 0.500 0.000
0.500 0.000 0.000
0.500 0.500 0.500
```

Values from the calculation:
Space-group type: P4/mmm
E above lowest polymorph: 0.0 meV/atom
Formation energy: 0.4200 eV per atom
DOS at the Fermi energy: 2.6 states/eV per cell
E: -46.777 eV per atom


# 2
SrOs2W: PBEsol geometry, SCAN.

```
SrOs2W
1.0
-1.776 -1.535 -1.506
3.518 -0.611 -3.526
0.923 -3.957 2.944
Os Sr W
2 1 1
Direct
0.000 0.000 0.500
0.000 0.500 0.000
0.500 0.000 0.000
0.500 0.500 0.500
```

Values from the calculation:
Space-group type: Cmmm
E above lowest polymorph: 263.8 meV/atom
Formation energy: 1.0733 eV per atom
DOS at the Fermi energy: 3.9 states/eV per cell
E: -57.857 eV per atom


# 3
SrOs2W: PBEsol geometry, SCAN.

```
SrOs2W
1.0
2.856 0.000 0.000
1.428 2.473 0.000
1.428 0.824 9.667
W Os Sr
1 2 1
Direct
0.000 0.000 0.000
0.260 0.260 0.219
0.740 0.740 0.781
0.500 0.500 0.500
```

Values from the calculation:
Space-group type: R-3m
E above lowest polymorph: 0.0 meV/atom
Formation energy: 0.8095 eV per atom
DOS at the Fermi energy: 3.0 states/eV per cell
E: -58.121 eV per atom


Q: What is the E above lowest polymorph in the third record?
A: 0.0 meV/atom


Q: What is the E in the first record?
A: -46.777 eV per atom


Q: Which formula does entry 2 have?
A: SrOs2W